# 1
First-principles (PBE-GGA) data for a geometry-optimized NaTl5HgPb2 structure, as listed in Alexandria via LeMat-Bulk.

Summary:
**N(E_F)**: 9.1 states/eV/cell
**Crystal system**: orthorhombic
**Total energy**: -42.237 eV/cell
**Space-group type**: No. 36

a = 9.9762 Å, b = 9.9762 Å, c = 16.3435 Å
α = 90.00°, β = 90.00°, γ = 160.57°
Last column: nearest neighbours and their distance in Å.
Fractional coordinates of all 18 atoms:
Na1 0.0419 0.9581 0.5000  4 Tl 3.31-3.38, 2 Hg 3.36, 2 Na 3.37, 4 Pb 3.65
Na2 0.9581 0.0419 0.0000  4 Tl 3.31-3.38, 2 Hg 3.36, 2 Na 3.37, 4 Pb 3.65
Tl1 0.0345 0.9655 0.8175  5 Tl 3.30-3.44, 1 Na 3.34, 4 Pb 3.55-3.58
Tl2 0.1975 0.8025 0.1514  8 Tl 3.37-3.71, 1 Hg 3.41, 4 Pb 3.59-3.64
Tl3 0.2023 0.7977 0.8116  7 Tl 3.30-3.70, 3 Pb 3.43-3.59, 2 Hg 3.53
Tl4 0.2096 0.7904 0.4829  1 Na 3.31, 3 Pb 3.31-3.48, 4 Tl 3.37-3.70, 2 Hg 3.50
Tl5 0.4651 0.5349 0.6537  1 Hg 3.23, 2 Pb 3.32-3.34, 6 Tl 3.37-3.61, 2 Na 3.38
Tl6 0.5349 0.4651 0.1537  1 Hg 3.23, 2 Pb 3.32-3.34, 6 Tl 3.37-3.61, 2 Na 3.38
Tl7 0.7904 0.2096 0.9829  1 Na 3.31, 3 Pb 3.31-3.48, 4 Tl 3.37-3.70, 2 Hg 3.50
Tl8 0.7977 0.2023 0.3116  7 Tl 3.30-3.70, 3 Pb 3.43-3.59, 2 Hg 3.53
Tl9 0.8025 0.1975 0.6514  8 Tl 3.37-3.71, 1 Hg 3.41, 4 Pb 3.59-3.64
Tl10 0.9655 0.0345 0.3175  5 Tl 3.30-3.44, 1 Na 3.34, 4 Pb 3.55-3.58
Hg1 0.3708 0.6292 0.1438  6 Tl 3.23-3.53, 2 Na 3.36, 2 Hg 3.37
Hg2 0.6292 0.3708 0.6438  6 Tl 3.23-3.53, 2 Na 3.36, 2 Hg 3.37
Pb1 0.3760 0.6240 0.8279  8 Tl 3.34-3.64, 2 Pb 3.37, 2 Na 3.65
Pb2 0.3778 0.6222 0.4798  8 Tl 3.31-3.59, 2 Pb 3.37, 2 Na 3.65
Pb3 0.6222 0.3778 0.9798  8 Tl 3.31-3.59, 2 Pb 3.37, 2 Na 3.65
Pb4 0.6240 0.3760 0.3279  8 Tl 3.34-3.64, 2 Pb 3.37, 2 Na 3.65

# 2
First-principles (PBE-GGA) data for a geometry-optimized Na2Tl2HgPb2 structure, as listed in Alexandria via LeMat-Bulk.

Summary:
**N(E_F)**: 5.9 states/eV/cell
**Crystal system**: monoclinic
**Total energy**: -31.078 eV/cell
**Space-group type**: No. 12

a = 16.7121 Å, b = 3.4379 Å, c = 8.1573 Å
α = 90.00°, β = 115.41°, γ = 90.00°
Last column: nearest neighbours and their distance in Å.
Fractional coordinates of all 14 atoms:
Na1 0.0709 0.0000 0.2449  2 Hg 3.29, 2 Tl 3.29-3.33, 3 Pb 3.42-3.46, 3 Na 3.44-3.67
Na2 0.4291 0.5000 0.7551  2 Hg 3.29, 2 Tl 3.29-3.33, 3 Pb 3.42-3.46, 3 Na 3.44-3.67
Na3 0.5709 0.5000 0.2449  2 Hg 3.29, 2 Tl 3.29-3.33, 3 Pb 3.42-3.46, 3 Na 3.44-3.67
Na4 0.9291 0.0000 0.7551  2 Hg 3.29, 2 Tl 3.29-3.33, 3 Pb 3.42-3.46, 3 Na 3.44-3.67
Tl1 0.1470 0.0000 0.9285  2 Na 3.29-3.33, 3 Pb 3.35-3.43, 4 Tl 3.44-3.57
Tl2 0.3530 0.5000 0.0715  2 Na 3.29-3.33, 3 Pb 3.35-3.43, 4 Tl 3.44-3.57
Tl3 0.6470 0.5000 0.9285  2 Na 3.29-3.33, 3 Pb 3.35-3.43, 4 Tl 3.44-3.57
Tl4 0.8530 0.0000 0.0715  2 Na 3.29-3.33, 3 Pb 3.35-3.43, 4 Tl 3.44-3.57
Hg1 0.0000 0.5000 0.5000  2 Pb 3.14, 4 Na 3.29, 2 Hg 3.44
Hg2 0.5000 0.0000 0.5000  2 Pb 3.14, 4 Na 3.29, 2 Hg 3.44
Pb1 0.2061 0.5000 0.6341  1 Hg 3.14, 3 Tl 3.35-3.43, 3 Na 3.42-3.46, 2 Pb 3.44
Pb2 0.2939 0.0000 0.3659  1 Hg 3.14, 3 Tl 3.35-3.43, 3 Na 3.42-3.46, 2 Pb 3.44
Pb3 0.7061 0.0000 0.6341  1 Hg 3.14, 3 Tl 3.35-3.43, 3 Na 3.42-3.46, 2 Pb 3.44
Pb4 0.7939 0.5000 0.3659  1 Hg 3.14, 3 Tl 3.35-3.43, 3 Na 3.42-3.46, 2 Pb 3.44

# 3
First-principles (PBE-GGA) data for a geometry-optimized Na3Tl3Hg2Pb structure, as listed in Alexandria via LeMat-Bulk.

Summary:
**N(E_F)**: 5.0 states/eV/cell
**Crystal system**: hexagonal
**Total energy**: -16.629 eV/cell
**Space-group type**: No. 189

a = 9.0533 Å, b = 9.0533 Å, c = 3.6019 Å
α = 90.00°, β = 90.00°, γ = 120.00°
Last column: nearest neighbours and their distance in Å.
Fractional coordinates of all 9 atoms:
Na1 0.0000 0.3745 0.0000  4 Hg 3.37, 1 Pb 3.39, 6 Tl 3.41-3.61, 2 Na 3.60
Na2 0.3745 0.0000 0.0000  4 Hg 3.37, 1 Pb 3.39, 6 Tl 3.41-3.61, 2 Na 3.60
Na3 0.6255 0.6255 0.0000  4 Hg 3.37, 1 Pb 3.39, 6 Tl 3.41-3.61, 2 Na 3.60
Tl1 0.0000 0.6939 0.5000  2 Hg 3.15, 2 Pb 3.31, 2 Na 3.41
Tl2 0.3061 0.3061 0.5000  2 Hg 3.15, 2 Pb 3.31, 2 Na 3.41
Tl3 0.6939 0.0000 0.5000  2 Hg 3.15, 2 Pb 3.31, 2 Na 3.41
Hg1 0.3333 0.6667 0.5000  3 Tl 3.15, 6 Na 3.37
Hg2 0.6667 0.3333 0.5000  3 Tl 3.15, 6 Na 3.37
Pb1 0.0000 0.0000 0.0000  6 Tl 3.31, 3 Na 3.39, 2 Pb 3.60

# 4
First-principles (PBE-GGA) data for a geometry-optimized Na3Tl4Hg2Pb2 structure, as listed in Alexandria via LeMat-Bulk.

Summary:
**N(E_F)**: 5.7 states/eV/cell
**Crystal system**: trigonal
**Total energy**: -22.176 eV/cell
**Space-group type**: No. 164

a = 5.3515 Å, b = 5.3515 Å, c = 13.2548 Å
α = 90.00°, β = 90.00°, γ = 120.00°
Last column: nearest neighbours and their distance in Å.
Fractional coordinates of all 11 atoms:
Na1 0.0000 0.0000 0.0000  6 Hg 3.29
Na2 0.0000 0.0000 0.2835  6 Tl 3.14-3.50
Na3 0.0000 0.0000 0.7165  6 Tl 3.14-3.50
Tl1 0.3333 0.6667 0.3261  3 Na 3.14, 1 Hg 3.19, 4 Pb 3.21-3.39
Tl2 0.3333 0.6667 0.8405  4 Hg 3.24-3.25, 3 Na 3.50, 1 Pb 3.61
Tl3 0.6667 0.3333 0.1595  4 Hg 3.24-3.25, 3 Na 3.50, 1 Pb 3.61
Tl4 0.6667 0.3333 0.6739  3 Na 3.14, 1 Hg 3.19, 4 Pb 3.21-3.39
Hg1 0.3333 0.6667 0.0857  5 Tl 3.19-3.25, 3 Na 3.29
Hg2 0.6667 0.3333 0.9143  5 Tl 3.19-3.25, 3 Na 3.29
Pb1 0.3333 0.6667 0.5680  4 Tl 3.21-3.39, 3 Pb 3.58
Pb2 0.6667 0.3333 0.4320  4 Tl 3.21-3.39, 3 Pb 3.58

Number 1: energy relative to the elements -3 kJ per mole of atoms. Number 2: energy relative to the elements -6 kJ per mole of atoms. Number 3: energy relative to the elements -14 kJ per mole of atoms. Number 4: energy relative to the elements -6 kJ per mole of atoms.